(1)
The following is a DFT calculation (PBEsol) of an optimized crystal structure of MnCoW2.

Lattice parameters (Å, degrees): 4.5319 4.5319 4.7164 99.09 99.09 34.02
Fractional coordinates of all 4 atoms:
Mn (0.0000, 0.0000, 0.0000)
Co (0.5000, 0.5000, 0.5000)
W (0.2433, 0.2433, 0.7464)
W (0.7567, 0.7567, 0.2536)

Properties
- Uncorrected energy: -10.9417 eV/atom
- Formation enthalpy at 0 K: 0.3366 eV per atom
- M_tot: 1.03 μB per cell

(2)
The following is a DFT calculation (PBEsol) of an optimized crystal structure of CaDy2Ge4O12.

Lattice parameters (Å, degrees): 9.9842 9.9842 5.0669 90.00 90.00 90.04
Fractional coordinates of all 38 atoms:
Ca (0.0000, 0.0000, 0.0000)
Ca (0.5000, 0.5000, 0.0000)
Dy (0.0000, 0.5000, 0.0000)
Dy (0.2500, 0.2500, 0.0000)
Dy (0.5000, 0.0000, 0.0000)
Dy (0.7500, 0.7500, 0.0000)
Ge (0.0200, 0.7504, 0.5043)
Ge (0.2504, 0.5200, 0.5043)
Ge (0.2496, 0.9800, 0.5043)
Ge (0.4800, 0.7496, 0.5043)
Ge (0.5200, 0.2504, 0.4957)
Ge (0.7504, 0.0200, 0.4957)
Ge (0.7496, 0.4800, 0.4957)
Ge (0.9800, 0.2496, 0.4957)
O (0.0595, 0.3280, 0.7584)
O (0.0696, 0.1758, 0.2454)
O (0.1231, 0.6231, 0.6677)
O (0.1304, 0.8696, 0.3496)
O (0.1720, 0.4405, 0.2416)
O (0.1758, 0.0696, 0.7546)
O (0.3242, 0.4304, 0.7546)
O (0.3280, 0.0595, 0.2416)
O (0.3696, 0.6304, 0.3496)
O (0.3769, 0.8769, 0.6677)
O (0.4304, 0.3242, 0.2454)
O (0.4405, 0.1720, 0.7584)
O (0.5595, 0.8280, 0.2416)
O (0.5696, 0.6758, 0.7546)
O (0.6231, 0.1231, 0.3323)
O (0.6304, 0.3696, 0.6504)
O (0.6720, 0.9405, 0.7584)
O (0.6758, 0.5696, 0.2454)
O (0.8242, 0.9304, 0.2454)
O (0.8280, 0.5595, 0.7584)
O (0.8696, 0.1304, 0.6504)
O (0.8769, 0.3769, 0.3323)
O (0.9304, 0.8242, 0.7546)
O (0.9405, 0.6720, 0.2416)

Properties
- Uncorrected energy: -7.4209 eV/atom
- Energy relative to the elements, uncorrected: -2429 meV per atom
- M_tot: 0.00 μB per cell

(3)
The following is a DFT calculation (PBEsol) of an optimized crystal structure of LiYW2O8.

Lattice parameters (Å, degrees): 4.9711 5.8492 10.8690 90.00 113.92 90.00
Fractional coordinates of all 24 atoms:
Li (0.0000, 0.2386, 0.2500)
Li (0.0000, 0.7614, 0.7500)
Y (0.5000, 0.1862, 0.7500)
Y (0.5000, 0.8138, 0.2500)
W (0.2664, 0.3219, 0.0162)
W (0.2664, 0.6781, 0.5162)
W (0.7336, 0.3219, 0.4838)
W (0.7336, 0.6781, 0.9838)
O (0.1511, 0.3908, 0.5956)
O (0.1511, 0.6092, 0.0956)
O (0.2288, 0.1309, 0.1372)
O (0.2288, 0.8691, 0.6372)
O (0.2841, 0.1286, 0.8909)
O (0.2841, 0.8714, 0.3909)
O (0.3460, 0.4141, 0.3875)
O (0.3460, 0.5859, 0.8875)
O (0.6540, 0.4141, 0.1125)
O (0.6540, 0.5859, 0.6125)
O (0.7159, 0.1286, 0.6091)
O (0.7159, 0.8714, 0.1091)
O (0.7712, 0.1309, 0.3628)
O (0.7712, 0.8691, 0.8628)
O (0.8489, 0.3908, 0.9044)
O (0.8489, 0.6092, 0.4044)

Properties
- Uncorrected energy: -9.0685 eV/atom
- Energy relative to the elements, uncorrected: -2535 meV per atom
- M_tot: 0.00 μB per cell

(4)
The following is a DFT calculation (PBEsol) of an optimized crystal structure of ZrPb2Br.

Lattice parameters (Å, degrees): 6.1192 6.1192 6.1192 138.00 138.00 60.91
Fractional coordinates of all 4 atoms:
Zr (0.0000, 0.0000, 0.0000)
Pb (0.2500, 0.7500, 0.5000)
Pb (0.5000, 0.5000, 0.0000)
Br (0.7500, 0.2500, 0.5000)

Properties
- Uncorrected energy: -4.6351 eV/atom
- Energy relative to the elements, uncorrected: 104 meV per atom
- M_tot: 0.00 μB per cell

(5)
The following is a DFT calculation (PBEsol) of an optimized crystal structure of NaScRe2.

Lattice parameters (Å, degrees): 4.5335 4.5335 4.5335 60.00 60.00 60.00
Fractional coordinates of all 4 atoms:
Na (0.0000, 0.0000, 0.0000)
Sc (0.5000, 0.5000, 0.5000)
Re (0.2500, 0.2500, 0.2500)
Re (0.7500, 0.7500, 0.7500)

Properties
- Uncorrected energy: -7.3984 eV/atom
- Formation enthalpy at 0 K: 1.2688 eV per atom
- M_tot: 0.00 μB per cell

(6)
The following is a DFT calculation (PBEsol) of an optimized crystal structure of PrC6N9.

Lattice parameters (Å, degrees): 6.9976 6.9976 10.2359 90.00 90.00 111.27
Fractional coordinates of all 32 atoms:
Pr (0.2174, 0.7826, 0.7500)
Pr (0.7826, 0.2174, 0.2500)
C (0.0616, 0.2239, 0.7500)
C (0.2094, 0.5034, 0.0494)
C (0.2094, 0.5034, 0.4506)
C (0.2239, 0.0616, 0.2500)
C (0.4966, 0.7906, 0.0494)
C (0.4966, 0.7906, 0.4506)
C (0.5034, 0.2094, 0.5494)
C (0.5034, 0.2094, 0.9506)
C (0.7761, 0.9384, 0.7500)
C (0.7906, 0.4966, 0.5494)
C (0.7906, 0.4966, 0.9506)
C (0.9384, 0.7761, 0.2500)
N (0.0252, 0.9748, 0.2500)
N (0.0826, 0.3609, 0.0974)
N (0.0826, 0.3609, 0.4026)
N (0.1479, 0.4028, 0.7500)
N (0.3407, 0.6593, 0.5111)
N (0.3407, 0.6593, 0.9889)
N (0.3609, 0.0826, 0.5974)
N (0.3609, 0.0826, 0.9026)
N (0.4028, 0.1479, 0.2500)
N (0.5972, 0.8521, 0.7500)
N (0.6391, 0.9174, 0.0974)
N (0.6391, 0.9174, 0.4026)
N (0.6593, 0.3407, 0.0111)
N (0.6593, 0.3407, 0.4889)
N (0.8521, 0.5972, 0.2500)
N (0.9174, 0.6391, 0.5974)
N (0.9174, 0.6391, 0.9026)
N (0.9748, 0.0252, 0.7500)

Properties
- Uncorrected energy: -8.7600 eV/atom
- Energy relative to the elements, uncorrected: -23 meV per atom
- M_tot: 0.00 μB per cell

(7)
The following is a DFT calculation (PBEsol) of an optimized crystal structure of Gd2SCl4.

Lattice parameters (Å, degrees): 8.0783 8.0783 6.8934 97.25 97.25 45.81
Fractional coordinates of all 14 atoms:
Gd (0.1003, 0.6855, 0.9213)
Gd (0.3145, 0.8997, 0.5787)
Gd (0.6855, 0.1003, 0.4213)
Gd (0.8997, 0.3145, 0.0787)
S (0.0686, 0.9314, 0.2500)
S (0.9314, 0.0686, 0.7500)
Cl (0.1385, 0.3022, 0.8191)
Cl (0.3022, 0.1385, 0.3191)
Cl (0.3047, 0.5189, 0.5742)
Cl (0.4811, 0.6953, 0.9258)
Cl (0.5189, 0.3047, 0.0742)
Cl (0.6953, 0.4811, 0.4258)
Cl (0.6978, 0.8615, 0.6809)
Cl (0.8615, 0.6978, 0.1809)

Properties
- Uncorrected energy: -8.1447 eV/atom
- Energy relative to the elements, uncorrected: -2243 meV per atom
- M_tot: 27.94 μB per cell

(8)
The following is a DFT calculation (PBEsol) of an optimized crystal structure of TaSeI2N.

Lattice parameters (Å, degrees): 5.3431 5.3431 3.9323 90.00 90.00 90.00
Fractional coordinates of all 5 atoms:
Ta (0.0000, 0.0000, 0.0000)
Se (0.5000, 0.5000, 0.0000)
I (0.0000, 0.5000, 0.5000)
I (0.5000, 0.0000, 0.5000)
N (0.0000, 0.0000, 0.5000)

Properties
- Uncorrected energy: -4.8867 eV/atom
- Energy relative to the elements, uncorrected: 806 meV per atom
- M_tot: 0.00 μB per cell

(9)
The following is a DFT calculation (PBEsol) of an optimized crystal structure of KAsPt2.

Lattice parameters (Å, degrees): 6.3062 6.3062 6.3062 105.83 105.83 117.02
Fractional coordinates of all 8 atoms:
K (0.0000, 0.0000, 0.0000)
K (0.7500, 0.2500, 0.5000)
As (0.2500, 0.7500, 0.5000)
As (0.5000, 0.5000, 0.0000)
Pt (0.2312, 0.1250, 0.6062)
Pt (0.3750, 0.7688, 0.8938)
Pt (0.5188, 0.6250, 0.3938)
Pt (0.8750, 0.4812, 0.1062)

Properties
- Uncorrected energy: -4.9190 eV/atom
- Formation enthalpy at 0 K: 0.1227 eV per atom
- M_tot: 0.00 μB per cell

(10)
The following is a DFT calculation (PBEsol) of an optimized crystal structure of YTa2Zn.

Lattice parameters (Å, degrees): 5.4163 5.4163 5.4163 135.82 135.82 64.26
Fractional coordinates of all 4 atoms:
Y (0.0000, 0.0000, 0.0000)
Ta (0.2500, 0.7500, 0.5000)
Ta (0.7500, 0.2500, 0.5000)
Zn (0.5000, 0.5000, 0.0000)

Properties
- Uncorrected energy: -8.1081 eV/atom
- Formation enthalpy at 0 K: 0.2685 eV per atom
- M_tot: 0.00 μB per cell

(11)
The following is a DFT calculation (PBEsol) of an optimized crystal structure of HgMo2Pt.

Lattice parameters (Å, degrees): 4.9014 4.9014 4.9014 132.74 130.61 70.75
Fractional coordinates of all 4 atoms:
Hg (0.0000, 0.0000, 0.0000)
Mo (0.2560, 0.7560, 0.5000)
Mo (0.4845, 0.4845, 0.0000)
Pt (0.7465, 0.2465, 0.5000)

Properties
- Uncorrected energy: -7.5484 eV/atom
- Formation enthalpy at 0 K: 0.2182 eV per atom
- M_tot: 0.00 μB per cell

(12)
The following is a DFT calculation (PBEsol) of an optimized crystal structure of Sc5Mn.

Lattice parameters (Å, degrees): 4.8999 8.1799 8.1799 22.83 90.00 90.00
Fractional coordinates of all 6 atoms:
Sc (0.0000, 0.0000, 0.0000)
Sc (0.0000, 0.3120, 0.3120)
Sc (0.5000, 0.1106, 0.1106)
Sc (0.5000, 0.4356, 0.4356)
Sc (0.5000, 0.7669, 0.7669)
Mn (0.0000, 0.6566, 0.6566)

Properties
- Uncorrected energy: -7.0107 eV/atom
- Formation enthalpy at 0 K: 0.1203 eV per atom
- M_tot: 1.62 μB per cell

| no. | V (Å³ per cell) |
| --- | --- |
| 1 | 53.4 |
| 2 | 505.1 |
| 3 | 288.9 |
| 4 | 101.5 |
| 5 | 65.9 |
| 6 | 467.1 |
| 7 | 319.5 |
| 8 | 112.3 |
| 9 | 190.5 |
| 10 | 76.1 |
| 11 | 64.3 |
| 12 | 127.2 |